Entry 1:
Computed, not measured: an optimized crystal structure of ScNiBr2 at the GGA-PBEsol level of DFT.

Summary:
Crystal system: tetragonal
Polymorph energy (0 for the lowest one): 0.0000 eV per atom
SG: P4/mmm
V: 69.1 Å³/cell
Formation energy (no corrections): -1.422 eV/f.u.

Cell: 3.442 4.482 4.482 Å, 90.00 90.00 90.00°
Fractional positions:
Br 0.000 0.000 0.500
Br 0.000 0.500 0.000
Ni 0.500 0.500 0.500
Sc 0.500 0.000 0.000

Entry 2:
Computed, not measured: an optimized crystal structure of LiFeBO3 at the GGA-PBEsol level of DFT.

Summary:
Crystal system: triclinic
Polymorph energy (0 for the lowest one): 0.0000 eV per atom
SG: P-1
V: 109.7 Å³/cell
Formation energy (no corrections): -11.134 eV/f.u.

Cell: 5.183 5.237 5.532 Å, 60.09 64.83 60.18°
Fractional positions:
Li 0.904 0.595 0.737
Li 0.096 0.405 0.263
Fe 0.418 0.724 0.286
Fe 0.582 0.276 0.714
B 0.239 0.928 0.754
B 0.761 0.072 0.246
O 0.236 0.666 0.747
O 0.764 0.334 0.253
O 0.492 0.906 0.805
O 0.508 0.094 0.195
O 0.995 0.209 0.702
O 0.005 0.791 0.298

Entry 3:
Computed, not measured: an optimized crystal structure of Hf2GeOsBr at the GGA-PBEsol level of DFT.

Summary:
Crystal system: tetragonal
SG: P4/mmm
V: 118.7 Å³/cell
Formation energy (no corrections): 1.053 eV/f.u.

Cell: 4.624 5.066 5.066 Å, 90.00 90.00 90.00°
Fractional positions:
Hf 0.000 0.000 0.500
Hf 0.000 0.500 0.000
Ge 0.500 0.000 0.000
Os 0.000 0.000 0.000
Br 0.500 0.500 0.500